No. 1
Density functional theory data (PBE) for ZrPRh2 after structural relaxation.

Calculated values
**Energy of formation**: -0.5512 eV/atom

Unit cell a=2.9488 b=2.9488 c=7.0582 alpha=90.00 beta=90.00 gamma=90.00
With the nearest neighbours (Å) after each atom.
Space group P4/mmm (No. 123)
Symmetry-distinct sites (fractional):
Zr1 0.0000 0.0000 0.0000 (multiplicity 1)  4 Zr 2.95, 8 Rh 2.96
P1 0.0000 0.0000 0.5000 (multiplicity 1)  8 Rh 2.53
Rh1 0.5000 0.5000 0.2978 (multiplicity 2)  4 P 2.53



No. 2
Density functional theory data (PBE) for Rb2CaSmBr6 after structural relaxation.

Calculated values
**E_form (uncorrected)**: -17.28 eV/f.u.

Unit cell a=8.1565 b=8.1571 c=11.5411 alpha=90.00 beta=90.00 gamma=90.00
With the nearest neighbours (Å) after each atom.
Space group Immm (No. 71)
Symmetry-distinct sites (fractional):
Rb1 0.0000 0.0000 0.2451 (multiplicity 4)  12 Br 4.03-4.13
Ca1 0.0000 0.5000 0.5000 (multiplicity 2)  6 Br 2.87
Sm1 0.0000 0.5000 0.0000 (multiplicity 2)  6 Br 2.90
Br1 0.0000 0.5000 0.2510 (multiplicity 4)  1 Ca 2.87, 1 Sm 2.90
Br2 0.2502 0.2483 0.0000 (multiplicity 8)  1 Ca 2.87, 1 Sm 2.90



No. 3
Density functional theory data (PBE) for Ag3Pd6Au2 after structural relaxation.

Calculated values
**Energy of formation**: 0.0865 eV/atom

Unit cell a=8.2421 b=12.1433 c=4.4566 alpha=90.00 beta=122.52 gamma=90.00
With the nearest neighbours (Å) after each atom.
Space group C2/m (No. 12)
Symmetry-distinct sites (fractional):
Ag1 0.0000 0.0000 0.0000 (multiplicity 2)  4 Pd 2.69, 4 Au 2.90
Ag2 0.0000 0.2969 0.0000 (multiplicity 4)  8 Pd 2.74-2.83, 2 Au 2.84
Pd1 0.2009 0.5000 0.2003 (multiplicity 4)  2 Au 2.78, 5 Pd 2.79-2.82, 4 Ag 2.83-3.05
Pd2 0.2030 0.3575 0.7021 (multiplicity 8)  4 Ag 2.69-2.79, 3 Pd 2.82, 1 Au 2.86
Au1 0.0000 0.1523 0.5000 (multiplicity 4)  8 Pd 2.78-3.05, 4 Ag 2.84-2.90



No. 4
Density functional theory data (PBE) for RbBePb after structural relaxation.

Calculated values
**Energy of formation**: 0.1536 eV/atom

Unit cell a=4.6913 b=4.1564 c=11.0906 alpha=90.00 beta=94.69 gamma=90.00
With the nearest neighbours (Å) after each atom.
Space group P2_1/m (No. 11)
Symmetry-distinct sites (fractional):
Rb1 0.2151 0.2500 0.3019 (multiplicity 2)  3 Be 3.59-3.91, 4 Pb 3.71-3.86
Be1 0.1128 0.7500 0.0026 (multiplicity 2)  2 Be 2.33, 1 Pb 2.56
Pb1 0.3481 0.2500 0.8896 (multiplicity 2)  4 Be 2.56-2.71



Asked for mass density across the records above, the calculation gives 8.87, 3.64, 11.97, 4.65 Mg/m³ in order.
Asked for total magnetic moment across the records above, the calculation gives 0.000, 0.088, 0.000, 0.000 μB/atom in order.